Here is a geometry-optimized In4PPt structure from Alexandria. Energies are from PBE.

Summary:
Spin magnetization: 0.00 μB/f.u.
Formation enthalpy at 0 K: 0.631 eV/atom
Density of states at the Fermi level: 23.6 states/eV per cell

Lattice parameters (Å, degrees): 8.3095 8.3095 8.3095 90.00 90.00 90.00
Space group F-43m (No. 216)
Asymmetric unit:
In1 0.1252 0.1252 0.1252
P1 0.2500 0.2500 0.7500
Pt1 0.0000 0.0000 0.5000